# 1
The following is a GGA-PBE calculation of crystalline ZnGePRh at its relaxed geometry, from Alexandria via LeMat-Bulk.

Cell: 2.890 3.208 7.460 Å, 90.00 90.00 90.00°
Sites, in units of the cell vectors:
1 Zn 0.000 0.000 0.000
2 Ge 0.000 0.000 0.673
3 P 0.000 0.500 0.236
4 Rh 0.500 0.500 0.481

Summary:
theoretical density	6.53	g/cm3
total energy	-4.80	eV/atom
size of the total moment	0.00	μB per cell

---

# 2
The following is a GGA-PBE calculation of crystalline ZnGePRh at its relaxed geometry, from Alexandria via LeMat-Bulk.

Cell: 3.079 2.891 14.941 Å, 90.00 90.00 90.00°
Sites, in units of the cell vectors:
1 Zn 0.000 0.000 0.000
2 Zn 0.000 0.500 0.500
3 Ge 0.500 0.000 0.617
4 Ge 0.500 0.500 0.117
5 P 0.000 0.000 0.843
6 P 0.000 0.500 0.343
7 Rh 0.500 0.000 0.267
8 Rh 0.500 0.500 0.767

Summary:
theoretical density	6.79	g/cm3
total energy	-4.84	eV/atom
size of the total moment	0.00	μB per cell

---

# 3
The following is a GGA-PBE calculation of crystalline ZnGePRh at its relaxed geometry, from Alexandria via LeMat-Bulk.

Cell: 2.976 4.360 5.766 Å, 69.16 84.56 77.33°
Sites, in units of the cell vectors:
1 Zn 0.000 0.000 0.000
2 Ge 0.171 0.324 0.341
3 P 0.986 0.605 0.778
4 Rh 0.509 0.731 0.437

Summary:
theoretical density	6.62	g/cm3
total energy	-4.82	eV/atom
size of the total moment	0.00	μB per cell

---

# 4
The following is a GGA-PBE calculation of crystalline ZnGePRh at its relaxed geometry, from Alexandria via LeMat-Bulk.

Cell: 7.403 3.728 5.421 Å, 90.00 93.01 90.00°
Sites, in units of the cell vectors:
1 Zn 0.000 0.000 0.000
2 Zn 0.500 0.500 0.000
3 Ge 0.012 0.000 0.452
4 Ge 0.512 0.500 0.452
5 P 0.154 0.500 0.744
6 P 0.654 0.000 0.744
7 Rh 0.339 0.000 0.700
8 Rh 0.839 0.500 0.700

Summary:
theoretical density	6.04	g/cm3
total energy	-4.82	eV/atom
size of the total moment	0.00	μB per cell

---

# 5
The following is a GGA-PBE calculation of crystalline ZnGePRh at its relaxed geometry, from Alexandria via LeMat-Bulk.

Cell: 3.281 3.281 22.331 Å, 90.00 90.00 120.00°
Sites, in units of the cell vectors:
1 Zn 0.000 0.000 0.000
2 Zn 0.333 0.667 0.667
3 Zn 0.667 0.333 0.333
4 Ge 0.000 0.000 0.414
5 Ge 0.333 0.667 0.080
6 Ge 0.667 0.333 0.747
7 P 0.000 0.000 0.895
8 P 0.333 0.667 0.562
9 P 0.667 0.333 0.228
10 Rh 0.000 0.000 0.172
11 Rh 0.333 0.667 0.839
12 Rh 0.667 0.333 0.505

Summary:
theoretical density	6.51	g/cm3
total energy	-4.86	eV/atom
size of the total moment	0.00	μB per cell

---

# 6
The following is a GGA-PBE calculation of crystalline ZnGePRh at its relaxed geometry, from Alexandria via LeMat-Bulk.

Cell: 8.642 3.528 4.205 Å, 90.00 91.84 90.00°
Sites, in units of the cell vectors:
1 Zn 0.000 0.000 0.000
2 Zn 0.500 0.500 0.000
3 Ge 0.302 0.000 0.449
4 Ge 0.802 0.500 0.449
5 P 0.221 0.500 0.040
6 P 0.721 0.000 0.040
7 Rh 0.090 0.500 0.543
8 Rh 0.590 0.000 0.543

Summary:
theoretical density	7.05	g/cm3
total energy	-4.88	eV/atom
size of the total moment	0.00	μB per cell